VASP calculation (GGA-PBE) on a relaxed LuCdHg2 crystal.

Calculated values
The formation energy comes out at -0.301 eV/atom. Its density of states at the Fermi level is 0.381 states/eV per atom.

```
data_LuCdHg2
_cell_length_a 7.1393
_cell_length_b 7.1393
_cell_length_c 7.1393
_cell_angle_alpha 90.00
_cell_angle_beta 90.00
_cell_angle_gamma 90.00
_symmetry_space_group_name_H-M 'F m -3 m'
_symmetry_Int_Tables_number 225
_symmetry_space_group_name_Hall '-F 4 2 3'
loop_
_atom_site_label
_atom_site_type_symbol
_atom_site_fract_x
_atom_site_fract_y
_atom_site_fract_z
Lu1 Lu 0.0000 0.0000 0.0000
Cd1 Cd 0.0000 0.0000 0.5000
Hg1 Hg 0.2500 0.2500 0.2500
```

***

VASP calculation (GGA-PBE) on a relaxed K2Sr2RuO6 crystal.

Calculated values
Its density of states at the Fermi level is 0.731 states/eV per atom. The calculation puts the energy relative to the elements, uncorrected at -1.753 eV/atom.

```
data_K2Sr2RuO6
_cell_length_a 6.1488
_cell_length_b 10.3055
_cell_length_c 6.5465
_cell_angle_alpha 90.00
_cell_angle_beta 105.50
_cell_angle_gamma 90.00
_symmetry_space_group_name_H-M 'C 1 2/m 1'
_symmetry_Int_Tables_number 12
_symmetry_space_group_name_Hall '-C 2y'
loop_
_atom_site_label
_atom_site_type_symbol
_atom_site_fract_x
_atom_site_fract_y
_atom_site_fract_z
K1 K 0.0000 0.1582 0.0000
Sr1 Sr 0.0000 0.3374 0.5000
Ru1 Ru 0.0000 0.0000 0.5000
O1 O 0.1844 0.1377 0.6745
O2 O 0.2110 0.0000 0.3179
```

***

VASP calculation (GGA-PBE) on a relaxed ZnCo4 crystal.

Calculated values
The formation energy comes out at 1.020 eV/atom. Its density of states at the Fermi level is 1.725 states/eV per atom.

```
data_ZnCo4
_cell_length_a 5.2785
_cell_length_b 5.2785
_cell_length_c 5.2785
_cell_angle_alpha 90.00
_cell_angle_beta 90.00
_cell_angle_gamma 90.00
_symmetry_space_group_name_H-M 'I m -3 m'
_symmetry_Int_Tables_number 229
_symmetry_space_group_name_Hall '-I 4 2 3'
loop_
_atom_site_label
_atom_site_type_symbol
_atom_site_fract_x
_atom_site_fract_y
_atom_site_fract_z
Zn1 Zn 0.0000 0.0000 0.0000
Co1 Co 0.2500 0.2500 0.2500
```

***

VASP calculation (GGA-PBE) on a relaxed NpAlSnO6 crystal.

Calculated values
Its density of states at the Fermi level is 0.646 states/eV per atom. The calculation puts the energy relative to the elements, uncorrected at -2.356 eV/atom.

```
data_NpAlSnO6
_cell_length_a 5.2409
_cell_length_b 5.2409
_cell_length_c 9.0461
_cell_angle_alpha 90.00
_cell_angle_beta 90.00
_cell_angle_gamma 120.00
_symmetry_space_group_name_H-M 'P -3 1 c'
_symmetry_Int_Tables_number 163
_symmetry_space_group_name_Hall '-P 3 2c'
loop_
_atom_site_label
_atom_site_type_symbol
_atom_site_fract_x
_atom_site_fract_y
_atom_site_fract_z
Np1 Np 0.3333 0.6667 0.2500
Al1 Al 0.3333 0.6667 0.7500
Sn1 Sn 0.0000 0.0000 0.0000
O1 O 0.0282 0.3520 0.6313
```

***

VASP calculation (GGA-PBE) on a relaxed Er3Tm4Hg4 crystal.

Calculated values
The formation energy comes out at -0.245 eV/atom. Its density of states at the Fermi level is 0.618 states/eV per atom.

```
data_Er3Tm4Hg4
_cell_length_a 5.1389
_cell_length_b 7.0764
_cell_length_c 16.5559
_cell_angle_alpha 90.00
_cell_angle_beta 90.00
_cell_angle_gamma 90.00
_symmetry_space_group_name_H-M 'I m m m'
_symmetry_Int_Tables_number 71
_symmetry_space_group_name_Hall '-I 2 2'
loop_
_atom_site_label
_atom_site_type_symbol
_atom_site_fract_x
_atom_site_fract_y
_atom_site_fract_z
Er1 Er 0.0000 0.0000 0.0000
Er2 Er 0.0000 0.5000 0.1021
Tm1 Tm 0.0000 0.2651 0.3211
Hg1 Hg 0.0000 0.0000 0.1834
Hg2 Hg 0.0000 0.2104 0.5000
```

***

VASP calculation (GGA-PBE) on a relaxed Na3YHo3Se8 crystal.

Calculated values
Its density of states at the Fermi level is 0.424 states/eV per atom. The calculation puts the energy relative to the elements, uncorrected at -1.626 eV/atom.

```
data_Na3YHo3Se8
_cell_length_a 8.2077
_cell_length_b 8.2077
_cell_length_c 21.1892
_cell_angle_alpha 90.00
_cell_angle_beta 90.00
_cell_angle_gamma 120.00
_symmetry_space_group_name_H-M 'R -3 m'
_symmetry_Int_Tables_number 166
_symmetry_space_group_name_Hall '-R 3 2"'
loop_
_atom_site_label
_atom_site_type_symbol
_atom_site_fract_x
_atom_site_fract_y
_atom_site_fract_z
Na1 Na 0.0000 0.5000 0.0000
Y1 Y 0.0000 0.0000 0.5000
Ho1 Ho 0.0000 0.5000 0.5000
Se1 Se 0.0000 0.0000 0.2432
Se2 Se 0.0023 0.5011 0.7576
```

***

VASP calculation (GGA-PBE) on a relaxed YAlAu2 crystal.

Calculated values
The formation energy comes out at -0.078 eV/atom. Its density of states at the Fermi level is 0.521 states/eV per atom.

```
data_YAlAu2
_cell_length_a 3.1959
_cell_length_b 4.9457
_cell_length_c 11.1097
_cell_angle_alpha 90.00
_cell_angle_beta 90.00
_cell_angle_gamma 90.00
_symmetry_space_group_name_H-M 'I m m m'
_symmetry_Int_Tables_number 71
_symmetry_space_group_name_Hall '-I 2 2'
loop_
_atom_site_label
_atom_site_type_symbol
_atom_site_fract_x
_atom_site_fract_y
_atom_site_fract_z
Y1 Y 0.0000 0.0000 0.0000
Al1 Al 0.0000 0.0000 0.5000
Au1 Au 0.0000 0.0000 0.2749
```

***

VASP calculation (GGA-PBE) on a relaxed KAcTeS crystal.

Calculated values
Its density of states at the Fermi level is 0.000 states/eV per atom. The calculation puts the energy relative to the elements, uncorrected at -1.626 eV/atom.

```
data_KAcTeS
_cell_length_a 7.9342
_cell_length_b 4.5815
_cell_length_c 8.6524
_cell_angle_alpha 90.00
_cell_angle_beta 107.75
_cell_angle_gamma 90.00
_symmetry_space_group_name_H-M 'C 1 m 1'
_symmetry_Int_Tables_number 8
_symmetry_space_group_name_Hall 'C -2y'
loop_
_atom_site_label
_atom_site_type_symbol
_atom_site_fract_x
_atom_site_fract_y
_atom_site_fract_z
K1 K 0.0000 0.0000 0.0000
Ac1 Ac 0.1599 0.0000 0.4784
Te1 Te 0.0751 0.5000 0.7246
S1 S 0.2674 0.5000 0.3006
```

***

VASP calculation (GGA-PBE) on a relaxed PmCdGa3 crystal.

Calculated values
The formation energy comes out at -0.397 eV/atom. Its density of states at the Fermi level is 0.536 states/eV per atom.

```
data_PmCdGa3
_cell_length_a 4.2842
_cell_length_b 23.9773
_cell_length_c 4.2565
_cell_angle_alpha 90.00
_cell_angle_beta 90.00
_cell_angle_gamma 90.00
_symmetry_space_group_name_H-M 'C m c m'
_symmetry_Int_Tables_number 63
_symmetry_space_group_name_Hall '-C 2c 2'
loop_
_atom_site_label
_atom_site_type_symbol
_atom_site_fract_x
_atom_site_fract_y
_atom_site_fract_z
Pm1 Pm 0.0000 0.0773 0.2500
Cd1 Cd 0.0000 0.2019 0.7500
Ga1 Ga 0.0000 0.3135 0.7500
Ga2 Ga 0.0000 0.3729 0.2500
Ga3 Ga 0.0000 0.4749 0.2500
```

***

VASP calculation (GGA-PBE) on a relaxed Sc2SnRu crystal.

Calculated values
The formation energy comes out at -0.612 eV/atom. Its density of states at the Fermi level is 0.362 states/eV per atom.

```
data_Sc2SnRu
_cell_length_a 3.3621
_cell_length_b 3.3621
_cell_length_c 6.8954
_cell_angle_alpha 90.00
_cell_angle_beta 90.00
_cell_angle_gamma 90.00
_symmetry_space_group_name_H-M 'P 4/m m m'
_symmetry_Int_Tables_number 123
_symmetry_space_group_name_Hall '-P 4 2'
loop_
_atom_site_label
_atom_site_type_symbol
_atom_site_fract_x
_atom_site_fract_y
_atom_site_fract_z
Sc1 Sc 0.0000 0.0000 0.2179
Sn1 Sn 0.5000 0.5000 0.5000
Ru1 Ru 0.5000 0.5000 0.0000
```

***

VASP calculation (GGA-PBE) on a relaxed NbCoMoPt2 crystal.

Calculated values
The formation energy comes out at 1.344 eV/atom. Its density of states at the Fermi level is 0.907 states/eV per atom.

```
data_NbCoMoPt2
_cell_length_a 4.8581
_cell_length_b 4.8581
_cell_length_c 4.3450
_cell_angle_alpha 90.00
_cell_angle_beta 90.00
_cell_angle_gamma 90.00
_symmetry_space_group_name_H-M 'P 4/m m m'
_symmetry_Int_Tables_number 123
_symmetry_space_group_name_Hall '-P 4 2'
loop_
_atom_site_label
_atom_site_type_symbol
_atom_site_fract_x
_atom_site_fract_y
_atom_site_fract_z
Nb1 Nb 0.0000 0.0000 0.0000
Co1 Co 0.0000 0.0000 0.5000
Mo1 Mo 0.5000 0.5000 0.5000
Pt1 Pt 0.0000 0.5000 0.0000
```

***

VASP calculation (GGA-PBE) on a relaxed NaIrF2 crystal.

Calculated values
Its density of states at the Fermi level is 0.997 states/eV per atom. The calculation puts the energy relative to the elements, uncorrected at -1.510 eV/atom.

```
data_NaIrF2
_cell_length_a 2.8565
_cell_length_b 2.8565
_cell_length_c 20.7155
_cell_angle_alpha 90.00
_cell_angle_beta 90.00
_cell_angle_gamma 120.00
_symmetry_space_group_name_H-M 'R -3 m'
_symmetry_Int_Tables_number 166
_symmetry_space_group_name_Hall '-R 3 2"'
loop_
_atom_site_label
_atom_site_type_symbol
_atom_site_fract_x
_atom_site_fract_y
_atom_site_fract_z
Na1 Na 0.0000 0.0000 0.0000
Ir1 Ir 0.0000 0.0000 0.5000
F1 F 0.0000 0.0000 0.4019
```